# 1
VASP calculation (PBE-GGA) on crystalline SiAg2SnRh at its relaxed geometry.

abc: 5.090 5.090 4.900
angles: 90.00 90.00 90.00
Fractional positions:
Si (0.000, 0.000, 0.000)
Ag (0.000, 0.500, 0.500)
Ag (0.500, 0.000, 0.500)
Sn (0.500, 0.500, 0.000)
Rh (0.500, 0.500, 0.500)

Output
* formation energy without anion corrections: 0.853 eV/atom
* crystal system: tetragonal



# 2
VASP calculation (PBE-GGA) on crystalline Li6ZnAu10 at its relaxed geometry.

abc: 7.638 7.638 5.498
angles: 90.00 90.00 120.00
Fractional positions:
Li (0.000, 0.376, 0.207)
Li (0.000, 0.624, 0.793)
Li (0.376, 0.000, 0.207)
Li (0.376, 0.376, 0.793)
Li (0.624, 0.000, 0.793)
Li (0.624, 0.624, 0.207)
Zn (0.000, 0.000, 0.000)
Au (0.000, 0.276, 0.695)
Au (0.000, 0.724, 0.305)
Au (0.276, 0.000, 0.695)
Au (0.276, 0.276, 0.305)
Au (0.333, 0.667, 0.000)
Au (0.333, 0.667, 0.500)
Au (0.667, 0.333, 0.000)
Au (0.667, 0.333, 0.500)
Au (0.724, 0.000, 0.305)
Au (0.724, 0.724, 0.695)

Output
* ΔE_f: -400 meV per atom
* crystal system: trigonal



# 3
VASP calculation (PBE-GGA) on crystalline Cs2MgHg3 at its relaxed geometry.

abc: 9.646 9.646 6.026
angles: 90.00 90.00 66.63
Fractional positions:
Cs (0.022, 0.681, 0.750)
Cs (0.319, 0.978, 0.750)
Cs (0.681, 0.022, 0.250)
Cs (0.978, 0.319, 0.250)
Mg (0.422, 0.578, 0.250)
Mg (0.578, 0.422, 0.750)
Hg (0.131, 0.869, 0.250)
Hg (0.348, 0.348, 0.000)
Hg (0.348, 0.348, 0.500)
Hg (0.652, 0.652, 0.000)
Hg (0.652, 0.652, 0.500)
Hg (0.869, 0.131, 0.750)

Output
* ΔE_f: -167 meV per atom
* crystal system: orthorhombic



# 4
VASP calculation (PBE-GGA) on crystalline ThNCl at its relaxed geometry.

abc: 4.095 4.095 7.043
angles: 90.00 90.00 90.00
Fractional positions:
Th (0.250, 0.250, 0.164)
Th (0.750, 0.750, 0.836)
N (0.250, 0.750, 0.000)
N (0.750, 0.250, 0.000)
Cl (0.250, 0.250, 0.623)
Cl (0.750, 0.750, 0.377)

Output
* formation energy without anion corrections: -2.113 eV/atom
* crystal system: tetragonal



# 5
VASP calculation (PBE-GGA) on crystalline ScCrRu2 at its relaxed geometry.

abc: 5.077 5.077 5.077
angles: 136.58 136.58 63.09
Fractional positions:
Sc (0.000, 0.000, 0.000)
Cr (0.250, 0.750, 0.500)
Ru (0.500, 0.500, 0.000)
Ru (0.750, 0.250, 0.500)

Output
* ΔE_f: 40 meV per atom
* crystal system: tetragonal



These records have spin magnetization values of 0.000 0.000 0.000 0.000 0.588 μB/atom, in the order they appear.